# 1
{"formula": "Cr4CdRu", "functional": "GGA-PBE", "state": "optimized geometry", "sg": "F-43m, No. 216", "ef_mev_per_atom": 273, "cell": [[-4.358, 2.025, 0.485], [-2.225, 1.893, -3.846], [-3.894, -2.177, -1.851]], "species": ["Cr", "Cr", "Ru", "Cd", "Cr", "Cr"], "frac_coords": [[0.627, 0.120, 0.627], [0.627, 0.627, 0.120], [0.250, 0.250, 0.250], [0.000, 0.000, 0.000], [0.120, 0.627, 0.627], [0.627, 0.627, 0.627]]}

# 2
{"formula": "Na4CeNd3S8", "functional": "GGA-PBE", "state": "optimized geometry", "sg": "R-3m, No. 166", "e_form_raw_ev_per_atom": -1.78, "cell": [[-6.668, -4.709, 1.323], [1.962, -0.542, 7.962], [-0.814, 7.405, -3.593]], "species": ["Na", "Na", "S", "S", "S", "S", "Nd", "S", "Nd", "S", "S", "Na", "S", "Na", "Nd", "Ce"], "frac_coords": [[0.000, 0.000, 0.000], [0.000, 0.000, 0.500], [0.745, 0.734, 0.489], [0.756, 0.267, 0.512], [0.255, 0.266, 0.511], [0.244, 0.733, 0.989], [0.500, 0.500, 0.000], [0.745, 0.733, 0.989], [0.000, 0.500, 0.500], [0.756, 0.267, 0.011], [0.255, 0.267, 0.011], [0.500, 0.000, 0.000], [0.244, 0.733, 0.488], [0.500, 0.000, 0.500], [0.500, 0.500, 0.500], [0.000, 0.500, 0.000]]}

# 3
{"formula": "TbPuAlGa", "functional": "GGA-PBE", "state": "optimized geometry", "sg": "F-43m, No. 216", "ef_mev_per_atom": -313, "cell": [[-3.614, -3.008, -1.936], [-0.844, -4.587, 2.026], [-4.263, -0.872, 2.633]], "species": ["Ga", "Tb", "Pu", "Al"], "frac_coords": [[0.250, 0.250, 0.250], [0.000, 0.000, 0.000], [0.500, 0.500, 0.500], [0.750, 0.750, 0.750]]}